No. 1
Material: SmY6Tl3
Method: DFT, PBE-GGA
State: optimized geometry

Summary:
M_tot: 1.79 Bohr magnetons per cell
E: -5.221 eV/atom

```
20
Lattice="5.776 -6.480 0.000 5.776 6.480 0.000 0.000 0.000 8.444" Properties=species:S:1:pos:R:3 pbc="T T T"
Sm 5.776 4.260 4.222
Sm 5.776 -4.260 0.000
Y 2.952 2.417 2.645
Y 1.930 0.806 5.609
Y 1.930 -0.806 1.387
Y 5.776 2.940 0.639
Y 2.952 -2.417 6.867
Y 5.776 0.632 5.718
Y 5.776 -0.632 1.496
Y 8.600 2.417 2.645
Y 5.776 -2.940 4.861
Y 9.622 0.806 5.609
Y 9.622 -0.806 1.387
Y 8.600 -2.417 6.867
Tl 5.776 5.413 7.242
Tl 3.595 1.066 8.121
Tl 3.595 -1.066 3.899
Tl 7.957 1.066 8.121
Tl 7.957 -1.066 3.899
Tl 5.776 -5.413 3.021
```

No. 2
Material: SmY4Tl2
Method: DFT, PBE-GGA
State: optimized geometry

Summary:
M_tot: 0.99 Bohr magnetons per cell
E: -4.991 eV/atom

```
7
Lattice="2.578 1.488 10.258 -2.578 1.488 10.258 0.000 -2.977 10.258" Properties=species:S:1:pos:R:3 pbc="T T T"
Sm 0.000 0.000 0.000
Y 0.000 0.000 6.342
Y 0.000 0.000 11.950
Y 0.000 0.000 18.822
Y 0.000 0.000 24.431
Tl 0.000 0.000 3.135
Tl 0.000 0.000 27.637
```

No. 3
Material: Sm8YTl2
Method: DFT, PBE-GGA
State: optimized geometry

Summary:
M_tot: 0.00 Bohr magnetons per cell
E: -4.469 eV/atom

```
11
Lattice="4.486 -7.748 0.000 4.486 7.748 0.000 -2.484 0.000 5.212" Properties=species:S:1:pos:R:3 pbc="T T T"
Sm 0.323 1.755 3.228
Sm 4.486 4.362 0.000
Sm 0.323 -1.755 3.228
Sm 3.131 0.000 1.066
Sm 3.357 0.000 4.145
Sm 6.165 1.755 1.984
Sm 4.486 -4.362 0.000
Sm 6.165 -1.755 1.984
Y 0.000 0.000 0.000
Tl 3.244 3.005 2.606
Tl 3.244 -3.005 2.606
```

No. 4
Material: SmYTlZn
Method: DFT, PBE-GGA
State: optimized geometry

Summary:
M_tot: 0.00 Bohr magnetons per cell
offset from the most stable computed form: 0.000 eV per atom
E: -4.073 eV/atom

```
4
Lattice="3.704 0.000 0.000 0.000 3.704 0.000 0.000 0.000 7.526" Properties=species:S:1:pos:R:3 pbc="T T T"
Sm 0.000 0.000 0.000
Y 0.000 0.000 4.081
Tl 1.852 1.852 2.092
Zn 1.852 1.852 5.732
```

Repeat the fourth record exactly.
Material: SmYTlZn
Method: DFT, PBE-GGA
State: optimized geometry

Summary:
M_tot: 0.00 Bohr magnetons per cell
offset from the most stable computed form: 0.000 eV per atom
E: -4.073 eV/atom

```
4
Lattice="3.704 0.000 0.000 0.000 3.704 0.000 0.000 0.000 7.526" Properties=species:S:1:pos:R:3 pbc="T T T"
Sm 0.000 0.000 0.000
Y 0.000 0.000 4.081
Tl 1.852 1.852 2.092
Zn 1.852 1.852 5.732
```